# 1
VASP calculation (GGA-PBE) on a geometry-optimized Mn2FeBr8 structure.

Lattice parameters (Å, degrees): 7.729 7.729 9.291 108.09 108.09 56.14
Sites, in units of the cell vectors:
Mn1 0.236 0.236 0.331
Mn2 0.764 0.764 0.669
Fe1 0.000 0.000 0.000
Br1 0.121 0.653 0.854
Br2 0.184 0.184 0.547
Br3 0.347 0.879 0.146
Br4 0.388 0.388 0.270
Br5 0.612 0.612 0.730
Br6 0.653 0.121 0.854
Br7 0.816 0.816 0.453
Br8 0.879 0.347 0.146

Properties
The raw total energy comes out at -4.10 eV per atom. Its space-group type is No. 12. The calculation puts the formation energy without anion corrections at -4.88 eV per formula unit. The calculation puts the density at 3.098 g/cm³.

# 2
VASP calculation (GGA-PBE) on a geometry-optimized CsZnGaSe3 structure.

Lattice parameters (Å, degrees): 3.918 10.843 8.288 90.00 103.65 90.00
Sites, in units of the cell vectors:
Cs1 0.243 0.250 0.489
Cs2 0.757 0.750 0.511
Zn1 0.036 0.750 0.072
Zn2 0.964 0.250 0.928
Ga1 0.500 0.000 0.000
Ga2 0.500 0.500 0.000
Se1 0.107 0.548 0.213
Se2 0.107 0.952 0.213
Se3 0.444 0.750 0.888
Se4 0.556 0.250 0.112
Se5 0.893 0.048 0.787
Se6 0.893 0.452 0.787

Properties
The raw total energy comes out at -3.34 eV per atom. Its space-group type is No. 11. The calculation puts the formation energy without anion corrections at -4.41 eV per formula unit. The calculation puts the density at 4.901 g/cm³.

# 3
VASP calculation (GGA-PBE) on a geometry-optimized SmBe2Rh structure.

Lattice parameters (Å, degrees): 5.455 5.455 5.455 41.71 41.71 41.71
Sites, in units of the cell vectors:
Sm1 0.000 0.000 0.000
Be1 0.195 0.195 0.195
Be2 0.805 0.805 0.805
Rh1 0.500 0.500 0.500

Properties
The raw total energy comes out at -5.30 eV per atom. Its space-group type is No. 166. For the formation energy, the calculation gives -0.424 eV/atom. The calculation puts the density at 6.936 g/cm³.

# 4
VASP calculation (GGA-PBE) on a geometry-optimized Rb2SrHfW structure.

Lattice parameters (Å, degrees): 5.760 5.760 5.782 90.00 90.00 90.00
Sites, in units of the cell vectors:
Rb1 0.000 0.500 0.000
Rb2 0.500 0.000 0.000
Sr1 0.000 0.000 0.000
Hf1 0.000 0.000 0.500
W1 0.500 0.500 0.500

Properties
The raw total energy comes out at -2.48 eV per atom. Its space-group type is No. 123. For the formation energy, the calculation gives 2.822 eV/atom. The calculation puts the density at 5.375 g/cm³.

# 5
VASP calculation (GGA-PBE) on a geometry-optimized MnIn2Pd structure.

Lattice parameters (Å, degrees): 10.093 10.093 10.093 156.19 156.19 33.92
Sites, in units of the cell vectors:
Mn1 0.000 0.000 0.000
Mn2 0.750 0.250 0.500
In1 0.128 0.625 0.003
In2 0.375 0.378 0.503
In3 0.622 0.125 0.997
In4 0.875 0.872 0.497
Pd1 0.250 0.750 0.500
Pd2 0.500 0.500 0.000

Properties
The raw total energy comes out at -4.80 eV per atom. Its space-group type is No. 122. For the formation energy, the calculation gives 0.160 eV/atom. The calculation puts the density at 7.758 g/cm³.

# 6
VASP calculation (GGA-PBE) on a geometry-optimized CaSc3Cl structure.

Lattice parameters (Å, degrees): 5.490 5.490 5.490 90.00 90.00 90.00
Sites, in units of the cell vectors:
Ca1 0.000 0.000 0.000
Sc1 0.000 0.000 0.500
Sc2 0.000 0.500 0.000
Sc3 0.500 0.000 0.000
Cl1 0.500 0.500 0.500

Properties
The raw total energy comes out at -3.46 eV per atom. Its space-group type is No. 221. The calculation puts the formation energy without anion corrections at 5.54 eV per formula unit. Its distance to the lowest polymorph of the same formula is 1.390 eV/atom. The calculation puts the density at 2.112 g/cm³.

# 7
VASP calculation (GGA-PBE) on a geometry-optimized TiSiAu3 structure.

Lattice parameters (Å, degrees): 4.962 4.962 4.962 90.00 90.00 90.00
Sites, in units of the cell vectors:
Ti1 0.000 0.000 0.000
Si1 0.500 0.500 0.500
Au1 0.000 0.000 0.500
Au2 0.000 0.500 0.000
Au3 0.500 0.000 0.000

Properties
The raw total energy comes out at -3.70 eV per atom. Its space-group type is No. 221. The calculation puts the formation energy without anion corrections at 4.66 eV per formula unit. Its distance to the lowest polymorph of the same formula is 0.614 eV/atom. The calculation puts the density at 9.065 g/cm³.

# 8
VASP calculation (GGA-PBE) on a geometry-optimized Pr2AgSn4Ir3 structure.

Lattice parameters (Å, degrees): 4.557 4.557 10.921 90.00 90.00 90.00
Sites, in units of the cell vectors:
Pr1 0.000 0.500 0.243
Pr2 0.500 0.000 0.757
Ag1 0.000 0.000 0.500
Sn1 0.000 0.000 0.000
Sn2 0.000 0.500 0.635
Sn3 0.500 0.000 0.365
Sn4 0.500 0.500 0.000
Ir1 0.000 0.500 0.872
Ir2 0.500 0.000 0.128
Ir3 0.500 0.500 0.500

Properties
The raw total energy comes out at -6.01 eV per atom. Its space-group type is No. 115. For the formation energy, the calculation gives -0.505 eV/atom. The calculation puts the density at 10.552 g/cm³.